A geometry-optimized Y5Ho2Er4 structure. Source: Alexandria, functional GGA-PBE.

Properties
As for the size of the total moment: 0.005 μB/cell. Its formation energy from the elements is 0.10 eV per atom.

The structure in CIF format:
```
data_Y5Ho2Er4
_chemical_formula_sum 'Y10 Ho4 Er8'
_space_group_name_H-M_alt 'C 1 2/m 1'
_space_group_IT_number 12
_space_group_name_Hall '-C 2y'
_cell_length_a 16.2389
_cell_length_b 5.6286
_cell_length_c 9.3329
_cell_angle_alpha 90.00
_cell_angle_beta 124.64
_cell_angle_gamma 90.00
loop_
_atom_site_label
_atom_site_type_symbol
_atom_site_fract_x
_atom_site_fract_y
_atom_site_fract_z
Y1 Y 0.0000 0.0000 0.0000
Y2 Y 0.1601 0.5000 0.0617
Y3 Y 0.2067 0.5000 0.7427
Ho1 Ho 0.0862 0.0000 0.7462
Er1 Er 0.0518 0.5000 0.2971
Er2 Er 0.1851 0.0000 0.4866
```



A geometry-optimized GdThRuRh structure. Source: Alexandria, functional GGA-PBE.

Properties
As for the size of the total moment: 27.640 μB/cell. Its formation energy from the elements is -0.58 eV per atom.

The structure in CIF format:
```
data_GdThRuRh
_chemical_formula_sum 'Gd4 Th4 Ru4 Rh4'
_space_group_name_H-M_alt 'F -4 3 m'
_space_group_IT_number 216
_space_group_name_Hall 'F -4 2 3'
_cell_length_a 7.0167
_cell_length_b 7.0167
_cell_length_c 7.0167
_cell_angle_alpha 90.00
_cell_angle_beta 90.00
_cell_angle_gamma 90.00
loop_
_atom_site_label
_atom_site_type_symbol
_atom_site_fract_x
_atom_site_fract_y
_atom_site_fract_z
Gd1 Gd 0.0000 0.0000 0.0000
Th1 Th 0.0000 0.0000 0.5000
Ru1 Ru 0.2500 0.2500 0.7500
Rh1 Rh 0.2500 0.2500 0.2500
```



A geometry-optimized NpBePdO6 structure. Source: Alexandria, functional GGA-PBE.

Properties
As for the size of the total moment: 0.537 μB/cell. For the raw formation energy, the calculation gives -1693 meV per atom.

The structure in CIF format:
```
data_NpBePdO6
_chemical_formula_sum 'Np2 Be2 Pd2 O12'
_space_group_name_H-M_alt 'P -3 1 c'
_space_group_IT_number 163
_space_group_name_Hall '-P 3 2c'
_cell_length_a 5.0484
_cell_length_b 5.0484
_cell_length_c 8.8538
_cell_angle_alpha 90.00
_cell_angle_beta 90.00
_cell_angle_gamma 120.00
loop_
_atom_site_label
_atom_site_type_symbol
_atom_site_fract_x
_atom_site_fract_y
_atom_site_fract_z
Np1 Np 0.3333 0.6667 0.2500
Be1 Be 0.3333 0.6667 0.7500
Pd1 Pd 0.0000 0.0000 0.0000
O1 O 0.0237 0.3567 0.6333
```



A geometry-optimized Tb2Pr4DyHo2 structure. Source: Alexandria, functional GGA-PBE.

Properties
As for the size of the total moment: 0.000 μB/cell. Its formation energy from the elements is 0.02 eV per atom.

The structure in CIF format:
```
data_Tb2Pr4DyHo2
_chemical_formula_sum 'Tb4 Pr8 Dy2 Ho4'
_space_group_name_H-M_alt 'C 1 2/m 1'
_space_group_IT_number 12
_space_group_name_Hall '-C 2y'
_cell_length_a 15.3852
_cell_length_b 5.1203
_cell_length_c 8.0768
_cell_angle_alpha 90.00
_cell_angle_beta 108.49
_cell_angle_gamma 90.00
loop_
_atom_site_label
_atom_site_type_symbol
_atom_site_fract_x
_atom_site_fract_y
_atom_site_fract_z
Tb1 Tb 0.1115 0.0000 0.1703
Pr1 Pr 0.0538 0.5000 0.8305
Pr2 Pr 0.2227 0.0000 0.8309
Dy1 Dy 0.0000 0.0000 0.5000
Ho1 Ho 0.1674 0.5000 0.4996
```



A geometry-optimized Zr2ScGa structure. Source: Alexandria, functional GGA-PBE.

Properties
As for the size of the total moment: 0.000 μB/cell. Its formation energy from the elements is -0.14 eV per atom.

The structure in CIF format:
```
data_Zr2ScGa
_chemical_formula_sum 'Zr6 Sc3 Ga3'
_space_group_name_H-M_alt 'R 3 m'
_space_group_IT_number 160
_space_group_name_Hall 'R 3 -2"'
_cell_length_a 3.2243
_cell_length_b 3.2243
_cell_length_c 29.2537
_cell_angle_alpha 90.00
_cell_angle_beta 90.00
_cell_angle_gamma 120.00
loop_
_atom_site_label
_atom_site_type_symbol
_atom_site_fract_x
_atom_site_fract_y
_atom_site_fract_z
Zr1 Zr 0.0000 0.0000 0.0000
Zr2 Zr 0.0000 0.0000 0.1751
Sc1 Sc 0.0000 0.0000 0.7548
Ga1 Ga 0.0000 0.0000 0.5879
```



A geometry-optimized GaCo structure. Source: Alexandria, functional GGA-PBE.

Properties
As for the size of the total moment: 0.000 μB/cell. Its formation energy from the elements is 0.21 eV per atom.

The structure in CIF format:
```
data_GaCo
_chemical_formula_sum 'Ga4 Co4'
_space_group_name_H-M_alt 'F m -3 m'
_space_group_IT_number 225
_space_group_name_Hall '-F 4 2 3'
_cell_length_a 4.7990
_cell_length_b 4.7990
_cell_length_c 4.7990
_cell_angle_alpha 90.00
_cell_angle_beta 90.00
_cell_angle_gamma 90.00
loop_
_atom_site_label
_atom_site_type_symbol
_atom_site_fract_x
_atom_site_fract_y
_atom_site_fract_z
Ga1 Ga 0.0000 0.0000 0.0000
Co1 Co 0.0000 0.0000 0.5000
```



A geometry-optimized In3IrBr structure. Source: Alexandria, functional GGA-PBE.

Properties
As for the size of the total moment: 0.000 μB/cell. For the raw formation energy, the calculation gives -68 meV per atom.

The structure in CIF format:
```
data_In3IrBr
_chemical_formula_sum 'In18 Ir6 Br6'
_space_group_name_H-M_alt 'R -3'
_space_group_IT_number 148
_space_group_name_Hall '-R 3'
_cell_length_a 7.2340
_cell_length_b 7.2340
_cell_length_c 18.5182
_cell_angle_alpha 90.00
_cell_angle_beta 90.00
_cell_angle_gamma 120.00
loop_
_atom_site_label
_atom_site_type_symbol
_atom_site_fract_x
_atom_site_fract_y
_atom_site_fract_z
In1 In 0.0021 0.4331 0.4137
Ir1 Ir 0.0000 0.0000 0.1658
Br1 Br 0.0000 0.0000 0.3970
```



A geometry-optimized PAuSe4 structure. Source: Alexandria, functional GGA-PBE.

Properties
As for the size of the total moment: 0.000 μB/cell. For the raw formation energy, the calculation gives 289 meV per atom.

The structure in CIF format:
```
data_PAuSe4
_chemical_formula_sum 'P2 Au2 Se8'
_space_group_name_H-M_alt 'C m m m'
_space_group_IT_number 65
_space_group_name_Hall '-C 2 2'
_cell_length_a 8.2924
_cell_length_b 8.4165
_cell_length_c 4.0463
_cell_angle_alpha 90.00
_cell_angle_beta 90.00
_cell_angle_gamma 90.00
loop_
_atom_site_label
_atom_site_type_symbol
_atom_site_fract_x
_atom_site_fract_y
_atom_site_fract_z
P1 P 0.0000 0.0000 0.0000
Au1 Au 0.0000 0.5000 0.5000
Se1 Se 0.0000 0.1808 0.5000
Se2 Se 0.1989 0.5000 0.0000
```



A geometry-optimized ZrZn2As structure. Source: Alexandria, functional GGA-PBE.

Properties
As for the size of the total moment: 0.000 μB/cell. Its formation energy from the elements is 0.03 eV per atom.

The structure in CIF format:
```
data_ZrZn2As
_chemical_formula_sum 'Zr3 Zn6 As3'
_space_group_name_H-M_alt 'R -3 m'
_space_group_IT_number 166
_space_group_name_Hall '-R 3 2"'
_cell_length_a 3.0798
_cell_length_b 3.0798
_cell_length_c 27.3375
_cell_angle_alpha 90.00
_cell_angle_beta 90.00
_cell_angle_gamma 120.00
loop_
_atom_site_label
_atom_site_type_symbol
_atom_site_fract_x
_atom_site_fract_y
_atom_site_fract_z
Zr1 Zr 0.0000 0.0000 0.0000
Zn1 Zn 0.0000 0.0000 0.2464
As1 As 0.0000 0.0000 0.5000
```



A geometry-optimized Cd2MoPb structure. Source: Alexandria, functional GGA-PBE.

Properties
As for the size of the total moment: 0.000 μB/cell. Its formation energy from the elements is 0.50 eV per atom.

The structure in CIF format:
```
data_Cd2MoPb
_chemical_formula_sum 'Cd2 Mo1 Pb1'
_space_group_name_H-M_alt 'P m m 2'
_space_group_IT_number 25
_space_group_name_Hall 'P 2 -2'
_cell_length_a 2.9945
_cell_length_b 5.1396
_cell_length_c 5.5331
_cell_angle_alpha 90.00
_cell_angle_beta 90.00
_cell_angle_gamma 90.00
loop_
_atom_site_label
_atom_site_type_symbol
_atom_site_fract_x
_atom_site_fract_y
_atom_site_fract_z
Cd1 Cd 0.0000 0.0000 0.0000
Cd2 Cd 0.0000 0.5000 0.3000
Mo1 Mo 0.5000 0.5000 0.8133
Pb1 Pb 0.5000 0.0000 0.5224
```